Entry 1:
CaTb2Rh2: relaxed, PBE.

Cell: 4.9469 7.5589 7.5735 Å, 68.71 70.90 70.88°
Fractional coordinates of all 10 atoms:
1 Ca 0.7504 0.7501 0.2501
2 Ca 0.2496 0.2499 0.7499
3 Tb 0.4131 0.4211 0.2543
4 Tb 0.9117 0.9208 0.7544
5 Tb 0.0883 0.0792 0.2456
6 Tb 0.5869 0.5789 0.7457
7 Rh 0.3414 0.8252 0.9923
8 Rh 0.8417 0.3253 0.4922
9 Rh 0.6586 0.1748 0.0077
10 Rh 0.1583 0.6747 0.5078

Its calculated density is 7.73 Mg/m³. Its space group is C2/c. The density of states at the Fermi level comes out at 6.30 states/eV per cell. Its formation energy is -2.9 eV per formula unit.

Entry 2:
YBeFe2: relaxed, PBE.

Cell: 3.8600 3.8600 5.2939 Å, 68.61 68.61 60.02°
Site moments in Bohr magnetons follow the coordinates.
Fractional coordinates of all 4 atoms:
1 Y 0.4976 0.4976 0.5066  -0.19
2 Be 0.3076 0.3076 0.0773  -0.05
3 Fe 0.0038 0.0038 0.9887  1.05
4 Fe 0.6910 0.6910 0.9274  1.20

Its calculated density is 5.62 Mg/m³. Its space group is R3m. The density of states at the Fermi level comes out at 2.95 states/eV per cell. Its formation energy is -0.4 eV per formula unit.

Entry 3:
CeLu2Hg: relaxed, PBE.

Cell: 5.2397 5.2397 5.2397 Å, 60.00 60.00 60.00°
Fractional coordinates of all 4 atoms:
1 Lu 0.2500 0.2500 0.2500
2 Lu 0.7500 0.7500 0.7500
3 Hg 0.5000 0.5000 0.5000
4 Ce 0.0000 0.0000 0.0000

Its calculated density is 11.27 Mg/m³. Its space group is Fm-3m. The density of states at the Fermi level comes out at 6.08 states/eV per cell. Its formation energy is 0.1 eV per formula unit.

Entry 4:
Sr2CdIn3: relaxed, PBE.

Cell: 5.0917 6.4817 6.4846 Å, 78.01 66.88 66.87°
Fractional coordinates of all 6 atoms:
1 Sr 0.5414 0.2086 0.7086
2 Sr 0.4571 0.7917 0.2941
3 Cd 0.1662 0.3908 0.2768
4 In 0.8409 0.6061 0.7122
5 In 0.8340 0.2216 0.1105
6 In 0.1605 0.7811 0.8979

Its calculated density is 5.81 Mg/m³. Its space group is Cm. The density of states at the Fermi level comes out at 2.63 states/eV per cell. Its formation energy is -2.6 eV per formula unit.

Entry 5:
BeFeAs: relaxed, PBE.

Cell: 2.8043 2.8043 5.5461 Å, 90.00 90.00 120.00°
Site moments in Bohr magnetons follow the coordinates.
Fractional coordinates of all 3 atoms:
1 Be 0.3333 0.6667 0.3613  -0.04
2 As 0.0000 0.0000 0.9789  -0.05
3 Fe 0.6667 0.3333 0.6598  1.45

Its calculated density is 6.14 Mg/m³. Its space group is P3m1. The density of states at the Fermi level comes out at 1.30 states/eV per cell. Its formation energy is 0.7 eV per formula unit.

Entry 6:
LiCePu2P4: relaxed, PBE.

Cell: 4.0120 6.8427 13.0163 Å, 90.00 90.00 107.05°
Site moments in Bohr magnetons follow the coordinates.
Fractional coordinates of all 16 atoms:
1 Li 0.8619 0.7237 0.7500  -0.01
2 Li 0.1381 0.2763 0.2500  -0.01
3 Ce 0.1186 0.2371 0.7500  0.20
4 Ce 0.8814 0.7629 0.2500  0.20
5 Pu 0.3688 0.7375 0.5602  4.69
6 Pu 0.6312 0.2625 0.0602  4.69
7 Pu 0.6312 0.2625 0.4398  4.69
8 Pu 0.3688 0.7375 0.9398  4.69
9 P 0.2686 0.5371 0.1223  -0.13
10 P 0.7314 0.4629 0.6223  -0.13
11 P 0.7314 0.4629 0.8777  -0.13
12 P 0.2686 0.5371 0.3777  -0.13
13 P 0.0000 0.0000 0.5000  -0.18
14 P 0.0000 0.0000 0.0000  -0.18
15 P 0.4651 0.9303 0.7500  -0.11
16 P 0.5349 0.0697 0.2500  -0.11

Its calculated density is 7.38 Mg/m³. Its space group is Cmcm. The density of states at the Fermi level comes out at 40.55 states/eV per cell. Its formation energy is -7.7 eV per formula unit.